1.
{
  "formula": "Ca2ReMoN",
  "functional": "PBE-GGA",
  "state": "relaxed",
  "vol_a3_per_atom": 29.452,
  "dft_energy_ev_per_atom": -5.36,
  "formation_energy_uncorrected_mev_per_atom": 1757,
  "spacegroup": "P4/mmm",
  "lattice_angstrom": [[5.6582, 0.0000, 0.0000], [0.0000, 5.6582, 0.0000], [0.0000, 0.0000, 4.5997]],
  "species": ["Ca", "Ca", "Re", "Mo", "N"],
  "frac_coords": [[0.0000, 0.5000, 0.0000], [0.5000, 0.0000, 0.0000], [0.0000, 0.0000, 0.0000], [0.0000, 0.0000, 0.5000], [0.5000, 0.5000, 0.5000]]
}

2.
{
  "formula": "HoPaAs2O8",
  "functional": "PBE-GGA",
  "state": "relaxed",
  "vol_a3_per_atom": 14.181,
  "dft_energy_ev_per_atom": -7.61,
  "formation_energy_uncorrected_mev_per_atom": -2360,
  "spacegroup": "I-4m2",
  "lattice_angstrom": [[-3.5588, 3.5588, 3.3591], [3.5588, -3.5588, 3.3591], [3.5588, 3.5588, -3.3591]],
  "species": ["Ho", "Pa", "As", "As", "O", "O", "O", "O", "O", "O", "O", "O"],
  "frac_coords": [[0.0000, 0.0000, 0.0000], [0.7500, 0.2500, 0.5000], [0.2500, 0.7500, 0.5000], [0.5000, 0.5000, 0.0000], [0.0783, 0.3985, 0.3202], [0.0783, 0.7581, 0.6798], [0.0922, 0.2897, 0.8024], [0.2419, 0.9217, 0.3202], [0.4873, 0.2897, 0.1976], [0.6015, 0.9217, 0.6798], [0.7103, 0.5127, 0.8024], [0.7103, 0.9078, 0.1976]]
}

3.
{
  "formula": "LiPrSc",
  "functional": "PBE-GGA",
  "state": "relaxed",
  "vol_a3_per_atom": 26.219,
  "dft_energy_ev_per_atom": -4.23,
  "spacegroup": "I4mm",
  "relative_energy_mev_per_atom": 57,
  "formation_enthalpy_0k_ev_per_fu": 0.3,
  "lattice_angstrom": [[-1.8263, 1.8263, 5.8955], [1.8263, -1.8263, 5.8955], [1.8263, 1.8263, -5.8955]],
  "species": ["Li", "Pr", "Sc"],
  "frac_coords": [[0.0000, 0.0000, 0.0000], [0.6737, 0.6737, 0.0000], [0.3671, 0.3671, 0.0000]]
}

4.
{
  "formula": "Hf2CrS",
  "functional": "PBE-GGA",
  "state": "relaxed",
  "vol_a3_per_atom": 16.920,
  "dft_energy_ev_per_atom": -8.35,
  "formation_energy_uncorrected_mev_per_atom": 61,
  "spacegroup": "Fm-3m",
  "relative_energy_mev_per_atom": 5,
  "lattice_angstrom": [[0.0000, 3.2345, 3.2345], [3.2345, 0.0000, 3.2345], [3.2345, 3.2345, 0.0000]],
  "species": ["Hf", "Hf", "Cr", "S"],
  "frac_coords": [[0.2500, 0.2500, 0.2500], [0.7500, 0.7500, 0.7500], [0.0000, 0.0000, 0.0000], [0.5000, 0.5000, 0.5000]]
}

5.
{
  "formula": "AsPb2Se",
  "functional": "PBE-GGA",
  "state": "relaxed",
  "vol_a3_per_atom": 25.978,
  "dft_energy_ev_per_atom": -3.69,
  "formation_energy_uncorrected_mev_per_atom": 203,
  "spacegroup": "F-43m",
  "relative_energy_mev_per_atom": 409,
  "lattice_angstrom": [[0.0000, 3.7314, 3.7314], [3.7314, 0.0000, 3.7314], [3.7314, 3.7314, 0.0000]],
  "species": ["As", "Pb", "Pb", "Se"],
  "frac_coords": [[0.0000, 0.0000, 0.0000], [0.5000, 0.5000, 0.5000], [0.7500, 0.7500, 0.7500], [0.2500, 0.2500, 0.2500]]
}

6.
{
  "formula": "Pr2SmDyY5",
  "functional": "PBE-GGA",
  "state": "relaxed",
  "vol_a3_per_atom": 33.150,
  "dft_energy_ev_per_atom": -5.44,
  "spacegroup": "I4/mcm",
  "formation_enthalpy_0k_ev_per_fu": 2.2,
  "lattice_angstrom": [[-4.3366, 4.3366, 7.9324], [4.3366, -4.3366, 7.9324], [4.3366, 4.3366, -7.9324]],
  "species": ["Pr", "Pr", "Pr", "Pr", "Sm", "Sm", "Dy", "Dy", "Y", "Y", "Y", "Y", "Y", "Y", "Y", "Y", "Y", "Y"],
  "frac_coords": [[0.1187, 0.6187, 0.7373], [0.3813, 0.1187, 0.5000], [0.6187, 0.8813, 0.5000], [0.8813, 0.3813, 0.2627], [0.2500, 0.7500, 0.5000], [0.7500, 0.2500, 0.5000], [0.2500, 0.2500, 0.0000], [0.7500, 0.7500, 0.0000], [0.0000, 0.0000, 0.0000], [0.0701, 0.1504, 0.5000], [0.1504, 0.6504, 0.0802], [0.3496, 0.4299, 0.5000], [0.4299, 0.9299, 0.0802], [0.5000, 0.5000, 0.0000], [0.5701, 0.0701, 0.9198], [0.6504, 0.5701, 0.5000], [0.8496, 0.3496, 0.9198], [0.9299, 0.8496, 0.5000]]
}

7.
{
  "formula": "GeAs2PBr",
  "functional": "PBE-GGA",
  "state": "relaxed",
  "vol_a3_per_atom": 25.139,
  "dft_energy_ev_per_atom": -3.22,
  "formation_energy_uncorrected_mev_per_atom": 984,
  "spacegroup": "P4/mmm",
  "relative_energy_mev_per_atom": 378,
  "lattice_angstrom": [[5.0602, 0.0000, 0.0000], [0.0000, 5.0602, 0.0000], [0.0000, 0.0000, 4.9089]],
  "species": ["Ge", "As", "As", "P", "Br"],
  "frac_coords": [[0.0000, 0.0000, 0.0000], [0.0000, 0.5000, 0.0000], [0.5000, 0.0000, 0.0000], [0.5000, 0.5000, 0.5000], [0.0000, 0.0000, 0.5000]]
}

8.
{
  "formula": "NaTbS2O8",
  "functional": "PBE-GGA",
  "state": "relaxed",
  "vol_a3_per_atom": 15.070,
  "dft_energy_ev_per_atom": -6.51,
  "formation_energy_uncorrected_mev_per_atom": -2023,
  "spacegroup": "P-3m1",
  "lattice_angstrom": [[5.4176, 0.0000, 0.0000], [-2.7088, 4.6918, 0.0000], [0.0000, 0.0000, 7.1144]],
  "species": ["Na", "Tb", "S", "S", "O", "O", "O", "O", "O", "O", "O", "O"],
  "frac_coords": [[0.0000, 0.0000, 0.0000], [0.0000, 0.0000, 0.5000], [0.3333, 0.6667, 0.7791], [0.6667, 0.3333, 0.2209], [0.1842, 0.3685, 0.7026], [0.1842, 0.8158, 0.7026], [0.3333, 0.6667, 0.9826], [0.3685, 0.1842, 0.2974], [0.6315, 0.8158, 0.7026], [0.6667, 0.3333, 0.0174], [0.8158, 0.1842, 0.2974], [0.8158, 0.6315, 0.2974]]
}

9.
{
  "formula": "AcPr5Sm",
  "functional": "PBE-GGA",
  "state": "relaxed",
  "vol_a3_per_atom": 37.531,
  "dft_energy_ev_per_atom": -4.59,
  "spacegroup": "C2/c",
  "formation_enthalpy_0k_ev_per_fu": 0.6,
  "lattice_angstrom": [[4.5225, -5.1378, 0.0000], [4.5225, 5.1378, 0.0000], [-3.8916, 0.0000, 11.3065]],
  "species": ["Ac", "Ac", "Pr", "Pr", "Pr", "Pr", "Pr", "Pr", "Pr", "Pr", "Pr", "Pr", "Sm", "Sm"],
  "frac_coords": [[0.0000, 0.5000, 0.0000], [0.5000, 0.0000, 0.5000], [0.0685, 0.2758, 0.5350], [0.0837, 0.9163, 0.2500], [0.2758, 0.0685, 0.0350], [0.3053, 0.4468, 0.3326], [0.4468, 0.3053, 0.8326], [0.5532, 0.6947, 0.1674], [0.6947, 0.5532, 0.6674], [0.7242, 0.9315, 0.9650], [0.9163, 0.0837, 0.7500], [0.9315, 0.7242, 0.4650], [0.2567, 0.7433, 0.7500], [0.7433, 0.2567, 0.2500]]
}

10.
{
  "formula": "AcThZnGa",
  "functional": "PBE-GGA",
  "state": "relaxed",
  "vol_a3_per_atom": 27.242,
  "dft_energy_ev_per_atom": -4.22,
  "spacegroup": "F-43m",
  "formation_enthalpy_0k_ev_per_fu": -1.0,
  "lattice_angstrom": [[0.0000, 3.7910, 3.7910], [3.7910, 0.0000, 3.7910], [3.7910, 3.7910, 0.0000]],
  "species": ["Ac", "Th", "Zn", "Ga"],
  "frac_coords": [[0.0000, 0.0000, 0.0000], [0.5000, 0.5000, 0.5000], [0.2500, 0.2500, 0.2500], [0.7500, 0.7500, 0.7500]]
}

11.
{
  "formula": "VH2AuN",
  "functional": "PBE-GGA",
  "state": "relaxed",
  "vol_a3_per_atom": 12.123,
  "dft_energy_ev_per_atom": -5.54,
  "spacegroup": "P1",
  "relative_energy_mev_per_atom": 200,
  "lattice_angstrom": [[2.8334, 0.0000, 0.0000], [-1.4144, 2.7421, 0.0000], [-0.5033, -1.2592, 7.8015]],
  "species": ["V", "H", "H", "Au", "N"],
  "frac_coords": [[0.0000, 0.0000, 0.0000], [0.5613, 0.1723, 0.8624], [0.8118, 0.8033, 0.4931], [0.3848, 0.8994, 0.6343], [0.3434, 0.6545, 0.0912]]
}

12.
{
  "formula": "PrHo7Hg4",
  "functional": "PBE-GGA",
  "state": "relaxed",
  "vol_a3_per_atom": 28.452,
  "dft_energy_ev_per_atom": -3.27,
  "spacegroup": "C2/m",
  "formation_enthalpy_0k_ev_per_fu": -1.2,
  "lattice_angstrom": [[7.3061, -2.8473, 0.0000], [7.3061, 2.8473, 0.0000], [-5.1827, 0.0000, 8.2064]],
  "species": ["Pr", "Ho", "Ho", "Ho", "Ho", "Ho", "Ho", "Ho", "Hg", "Hg", "Hg", "Hg"],
  "frac_coords": [[0.0000, 0.0000, 0.0000], [0.0666, 0.0666, 0.4064], [0.2073, 0.2073, 0.8829], [0.2701, 0.2701, 0.3190], [0.5000, 0.5000, 0.0000], [0.7299, 0.7299, 0.6810], [0.7927, 0.7927, 0.1171], [0.9334, 0.9334, 0.5936], [0.3103, 0.3103, 0.6626], [0.4539, 0.4539, 0.2744], [0.5461, 0.5461, 0.7256], [0.6897, 0.6897, 0.3374]]
}

13.
{
  "formula": "MgTa4Zn",
  "functional": "PBE-GGA",
  "state": "relaxed",
  "vol_a3_per_atom": 19.640,
  "dft_energy_ev_per_atom": -7.88,
  "spacegroup": "F-43m",
  "formation_enthalpy_0k_ev_per_fu": 3.0,
  "lattice_angstrom": [[0.0000, 3.8912, 3.8912], [3.8912, 0.0000, 3.8912], [3.8912, 3.8912, 0.0000]],
  "species": ["Mg", "Ta", "Ta", "Ta", "Ta", "Zn"],
  "frac_coords": [[0.0000, 0.0000, 0.0000], [0.1233, 0.6256, 0.6256], [0.6256, 0.1233, 0.6256], [0.6256, 0.6256, 0.1233], [0.6256, 0.6256, 0.6256], [0.2500, 0.2500, 0.2500]]
}

14.
{
  "formula": "BaNbInC2",
  "functional": "PBE-GGA",
  "state": "relaxed",
  "vol_a3_per_atom": 21.273,
  "dft_energy_ev_per_atom": -5.66,
  "spacegroup": "P4/mmm",
  "formation_enthalpy_0k_ev_per_fu": 4.9,
  "lattice_angstrom": [[4.4726, 0.0000, 0.0000], [0.0000, 4.4726, 0.0000], [0.0000, 0.0000, 5.3171]],
  "species": ["Ba", "Nb", "In", "C", "C"],
  "frac_coords": [[0.0000, 0.0000, 0.0000], [0.5000, 0.5000, 0.5000], [0.5000, 0.5000, 0.0000], [0.0000, 0.5000, 0.5000], [0.5000, 0.0000, 0.5000]]
}

15.
{
  "formula": "Cu3SiBi",
  "functional": "PBE-GGA",
  "state": "relaxed",
  "vol_a3_per_atom": 24.174,
  "dft_energy_ev_per_atom": -3.13,
  "formation_energy_uncorrected_mev_per_atom": 1188,
  "spacegroup": "Pm-3m",
  "relative_energy_mev_per_atom": 796,
  "lattice_angstrom": [[4.9443, 0.0000, 0.0000], [0.0000, 4.9443, 0.0000], [0.0000, 0.0000, 4.9443]],
  "species": ["Cu", "Cu", "Cu", "Si", "Bi"],
  "frac_coords": [[0.0000, 0.0000, 0.5000], [0.0000, 0.5000, 0.0000], [0.5000, 0.0000, 0.0000], [0.5000, 0.5000, 0.5000], [0.0000, 0.0000, 0.0000]]
}

16.
{
  "formula": "Pm6PrNdSm2",
  "functional": "PBE-GGA",
  "state": "relaxed",
  "vol_a3_per_atom": 34.875,
  "dft_energy_ev_per_atom": -4.63,
  "spacegroup": "C2/c",
  "formation_enthalpy_0k_ev_per_fu": 1.1,
  "lattice_angstrom": [[4.6225, -7.6871, 0.0000], [4.6225, 7.6871, 0.0000], [-1.4991, 0.0000, 9.8146]],
  "species": ["Pm", "Pm", "Pm", "Pm", "Pm", "Pm", "Pm", "Pm", "Pm", "Pm", "Pm", "Pm", "Pr", "Pr", "Nd", "Nd", "Sm", "Sm", "Sm", "Sm"],
  "frac_coords": [[0.0227, 0.5714, 0.1833], [0.1165, 0.7479, 0.5559], [0.2521, 0.8835, 0.9441], [0.2957, 0.5049, 0.3789], [0.4286, 0.9773, 0.3167], [0.4951, 0.7043, 0.1211], [0.5049, 0.2957, 0.8789], [0.5714, 0.0227, 0.6833], [0.7043, 0.4951, 0.6211], [0.7479, 0.1165, 0.0559], [0.8835, 0.2521, 0.4441], [0.9773, 0.4286, 0.8167], [0.4051, 0.5949, 0.7500], [0.5949, 0.4051, 0.2500], [0.0222, 0.9778, 0.2500], [0.9778, 0.0222, 0.7500], [0.1924, 0.2920, 0.0434], [0.2920, 0.1924, 0.5434], [0.7080, 0.8076, 0.4566], [0.8076, 0.7080, 0.9566]]
}

17.
{
  "formula": "FeTe2Pb",
  "functional": "PBE-GGA",
  "state": "relaxed",
  "vol_a3_per_atom": 25.226,
  "dft_energy_ev_per_atom": -4.55,
  "formation_energy_uncorrected_mev_per_atom": 68,
  "spacegroup": "Cmmm",
  "lattice_angstrom": [[2.6714, -4.8957, 0.0000], [2.6714, 4.8957, 0.0000], [0.0000, 0.0000, 3.8577]],
  "species": ["Fe", "Te", "Te", "Pb"],
  "frac_coords": [[0.0000, 0.0000, 0.0000], [0.1706, 0.8294, 0.5000], [0.8294, 0.1706, 0.5000], [0.5000, 0.5000, 0.0000]]
}

18.
{
  "formula": "SrPtBr",
  "functional": "PBE-GGA",
  "state": "relaxed",
  "vol_a3_per_atom": 26.358,
  "dft_energy_ev_per_atom": -3.74,
  "formation_energy_uncorrected_mev_per_atom": -605,
  "spacegroup": "I4mm",
  "relative_energy_mev_per_atom": 76,
  "lattice_angstrom": [[-1.7706, 1.7706, 6.3056], [1.7706, -1.7706, 6.3056], [1.7706, 1.7706, -6.3056]],
  "species": ["Sr", "Pt", "Br"],
  "frac_coords": [[0.0000, 0.0000, 0.0000], [0.3454, 0.3454, 0.0000], [0.6501, 0.6501, 0.0000]]
}

19.
{
  "formula": "LaMoAs3",
  "functional": "PBE-GGA",
  "state": "relaxed",
  "vol_a3_per_atom": 34.162,
  "dft_energy_ev_per_atom": -4.64,
  "spacegroup": "Pm-3m",
  "relative_energy_mev_per_atom": 1620,
  "formation_enthalpy_0k_ev_per_fu": 6.5,
  "lattice_angstrom": [[5.5484, 0.0000, 0.0000], [0.0000, 5.5484, 0.0000], [0.0000, 0.0000, 5.5484]],
  "species": ["La", "Mo", "As", "As", "As"],
  "frac_coords": [[0.0000, 0.0000, 0.0000], [0.5000, 0.5000, 0.5000], [0.0000, 0.0000, 0.5000], [0.0000, 0.5000, 0.0000], [0.5000, 0.0000, 0.0000]]
}

20.
{
  "formula": "Tl2Zn2Au",
  "functional": "PBE-GGA",
  "state": "relaxed",
  "vol_a3_per_atom": 22.696,
  "dft_energy_ev_per_atom": -2.08,
  "spacegroup": "P4/mbm",
  "relative_energy_mev_per_atom": 0,
  "formation_enthalpy_0k_ev_per_fu": 0.2,
  "lattice_angstrom": [[6.8962, 0.0000, 0.0000], [0.0000, 6.8962, 0.0000], [0.0000, 0.0000, 4.7724]],
  "species": ["Tl", "Tl", "Tl", "Tl", "Zn", "Zn", "Zn", "Zn", "Au", "Au"],
  "frac_coords": [[0.1783, 0.3217, 0.0000], [0.3217, 0.8217, 0.0000], [0.6783, 0.1783, 0.0000], [0.8217, 0.6783, 0.0000], [0.1365, 0.6365, 0.5000], [0.3635, 0.1365, 0.5000], [0.6365, 0.8635, 0.5000], [0.8635, 0.3635, 0.5000], [0.0000, 0.0000, 0.5000], [0.5000, 0.5000, 0.5000]]
}

21.
{
  "formula": "Mg4CuAu3",
  "functional": "PBE-GGA",
  "state": "relaxed",
  "vol_a3_per_atom": 17.538,
  "dft_energy_ev_per_atom": -3.02,
  "spacegroup": "R-3m",
  "formation_enthalpy_0k_ev_per_fu": -3.9,
  "lattice_angstrom": [[2.3064, 1.3316, 7.6142], [-2.3064, 1.3316, 7.6142], [0.0000, -2.6631, 7.6142]],
  "species": ["Mg", "Mg", "Mg", "Mg", "Cu", "Au", "Au", "Au"],
  "frac_coords": [[0.1246, 0.1246, 0.1246], [0.3747, 0.3747, 0.3747], [0.6253, 0.6253, 0.6253], [0.8754, 0.8754, 0.8754], [0.0000, 0.0000, 0.0000], [0.2539, 0.2539, 0.2539], [0.5000, 0.5000, 0.5000], [0.7461, 0.7461, 0.7461]]
}

22.
{
  "formula": "GaFeTeN2",
  "functional": "PBE-GGA",
  "state": "relaxed",
  "vol_a3_per_atom": 15.225,
  "dft_energy_ev_per_atom": -5.41,
  "formation_energy_uncorrected_mev_per_atom": 842,
  "spacegroup": "P4/mmm",
  "relative_energy_mev_per_atom": 0,
  "lattice_angstrom": [[3.7463, 0.0000, 0.0000], [0.0000, 3.7463, 0.0000], [0.0000, 0.0000, 5.4238]],
  "species": ["Ga", "Fe", "Te", "N", "N"],
  "frac_coords": [[0.0000, 0.0000, 0.0000], [0.5000, 0.5000, 0.5000], [0.5000, 0.5000, 0.0000], [0.0000, 0.5000, 0.5000], [0.5000, 0.0000, 0.5000]]
}

23.
{
  "formula": "Sr2UTl3Te6",
  "functional": "PBE-GGA",
  "state": "relaxed",
  "vol_a3_per_atom": 37.840,
  "dft_energy_ev_per_atom": -4.27,
  "formation_energy_uncorrected_mev_per_atom": -890,
  "spacegroup": "C2/m",
  "lattice_angstrom": [[4.0433, -6.9640, 0.0000], [4.0433, 6.9640, 0.0000], [-2.6642, 0.0000, 8.0633]],
  "species": ["Sr", "Sr", "U", "Tl", "Tl", "Tl", "Te", "Te", "Te", "Te", "Te", "Te"],
  "frac_coords": [[0.1656, 0.8344, 0.0000], [0.8344, 0.1656, 0.0000], [0.5000, 0.5000, 0.0000], [0.0000, 0.0000, 0.5000], [0.3310, 0.6690, 0.5000], [0.6690, 0.3310, 0.5000], [0.1247, 0.4270, 0.7815], [0.2736, 0.2736, 0.2260], [0.4270, 0.1247, 0.7815], [0.5730, 0.8753, 0.2185], [0.7264, 0.7264, 0.7740], [0.8753, 0.5730, 0.2185]]
}

24.
{
  "formula": "Ta14OsRu",
  "functional": "PBE-GGA",
  "state": "relaxed",
  "vol_a3_per_atom": 17.622,
  "dft_energy_ev_per_atom": -11.80,
  "spacegroup": "Cmmm",
  "formation_enthalpy_0k_ev_per_fu": -2.3,
  "lattice_angstrom": [[3.2666, -4.6676, 0.0000], [3.2666, 4.6676, 0.0000], [0.0000, 0.0000, 9.2456]],
  "species": ["Ta", "Ta", "Ta", "Ta", "Ta", "Ta", "Ta", "Ta", "Ta", "Ta", "Ta", "Ta", "Ta", "Ta", "Os", "Ru"],
  "frac_coords": [[0.0000, 0.0000, 0.0000], [0.0000, 0.5000, 0.0000], [0.0000, 0.5000, 0.5000], [0.2500, 0.2500, 0.2600], [0.2500, 0.2500, 0.7400], [0.2497, 0.7503, 0.2507], [0.2497, 0.7503, 0.7493], [0.5000, 0.0000, 0.0000], [0.5000, 0.0000, 0.5000], [0.5000, 0.5000, 0.0000], [0.7503, 0.2497, 0.2507], [0.7503, 0.2497, 0.7493], [0.7500, 0.7500, 0.2600], [0.7500, 0.7500, 0.7400], [0.0000, 0.0000, 0.5000], [0.5000, 0.5000, 0.5000]]
}